VASP calculation (PBE-GGA) on RbFeSb after structural relaxation.

Unit cell a=5.406 b=5.406 c=5.406 alpha=60.00 beta=60.00 gamma=60.00
Sites, in units of the cell vectors:
Rb 0.000 0.000 0.000
Fe 0.750 0.750 0.750
Sb 0.250 0.250 0.250

Properties
V   111.69 Å³/f.u.
M_tot   4.165 μB per cell
E_tot   -3.057 eV per atom